No. 1
A geometry-optimized Si2MoPb structure. Source: Alexandria via LeMat-Bulk, functional PBE-GGA.

a b c (Å): 4.694 4.694 4.694
angles (deg): 60.00 60.00 60.00
Positions (direct):
Si 0.000 0.000 0.000
Si 0.250 0.250 0.250
Mo 0.500 0.500 0.500
Pb 0.750 0.750 0.750

Properties
Space group: F-43m, No. 216

=====

No. 2
A geometry-optimized Si2MoPb structure. Source: Alexandria via LeMat-Bulk, functional PBE-GGA.

a b c (Å): 5.167 5.167 5.167
angles (deg): 141.45 123.19 70.77
Positions (direct):
Si 0.970 0.970 0.000
Si 0.763 0.263 0.500
Mo 0.527 0.527 0.000
Pb 0.241 0.741 0.500

Properties
Space group: Imm2, No. 44

=====

No. 3
A geometry-optimized Si2MoPb structure. Source: Alexandria via LeMat-Bulk, functional PBE-GGA.

a b c (Å): 9.144 9.144 9.144
angles (deg): 19.90 19.90 19.90
Positions (direct):
Si 0.983 0.983 0.983
Si 0.517 0.517 0.517
Mo 0.250 0.250 0.250
Pb 0.750 0.750 0.750

Properties
Space group: R-3m, No. 166

=====

No. 4
A geometry-optimized Si4MoPb structure. Source: Alexandria via LeMat-Bulk, functional PBE-GGA.

a b c (Å): 5.197 5.197 5.197
angles (deg): 60.00 60.00 60.00
Positions (direct):
Si 0.377 0.870 0.377
Si 0.377 0.377 0.870
Si 0.870 0.377 0.377
Si 0.377 0.377 0.377
Mo 0.750 0.750 0.750
Pb 0.000 0.000 0.000

Properties
Space group: F-43m, No. 216

=====

No. 5
A geometry-optimized Si2MoPb structure. Source: Alexandria via LeMat-Bulk, functional PBE-GGA.

a b c (Å): 4.687 4.687 3.383
angles (deg): 90.01 90.01 106.06
Positions (direct):
Si 0.500 0.500 0.000
Si 0.000 0.000 0.000
Mo 0.500 0.000 0.500
Pb 0.000 0.500 0.500

Properties
Space group: Cmmm, No. 65

=====

No. 6
A geometry-optimized Si2MoPb structure. Source: Alexandria via LeMat-Bulk, functional PBE-GGA.

a b c (Å): 5.213 5.213 5.213
angles (deg): 133.89 133.89 67.26
Last column: magnetic moment on the atom in μB.
Positions (direct):
Si 0.250 0.750 0.500  -0.01
Si 0.000 0.000 0.000  0.00
Pb 0.750 0.250 0.500  0.00
Mo 0.500 0.500 0.000  0.94

Properties
Space group: I-4m2, No. 119

=====

No. 7
A geometry-optimized Si2MoPb structure. Source: Alexandria via LeMat-Bulk, functional PBE-GGA.

a b c (Å): 4.977 4.977 4.977
angles (deg): 129.12 129.12 74.82
Last column: magnetic moment on the atom in μB.
Positions (direct):
Pb 0.750 0.250 0.500  0.03
Si 0.000 0.000 0.000  0.01
Si 0.500 0.500 0.000  0.01
Mo 0.250 0.750 0.500  1.19

Properties
Space group: I4/mmm, No. 139

=====

No. 8
A geometry-optimized SiMoPb structure. Source: Alexandria via LeMat-Bulk, functional PBE-GGA.

a b c (Å): 3.225 3.225 6.530
angles (deg): 90.00 90.00 120.00
Positions (direct):
Pb 0.667 0.333 0.325
Si 0.333 0.667 0.713
Mo 0.000 0.000 0.963

Properties
Space group: P3m1, No. 156

=====

No. 9
A geometry-optimized SiMoPb structure. Source: Alexandria via LeMat-Bulk, functional PBE-GGA.

a b c (Å): 4.274 4.274 3.755
angles (deg): 90.00 90.00 120.00
Positions (direct):
Si 0.333 0.667 0.834
Mo 0.000 0.000 0.833
Pb 0.667 0.333 0.333

Properties
Space group: P-6m2, No. 187

=====

No. 10
A geometry-optimized Si2MoPb structure. Source: Alexandria via LeMat-Bulk, functional PBE-GGA.

a b c (Å): 3.372 4.599 4.599
angles (deg): 90.00 90.00 90.00
Positions (direct):
Si 0.000 0.500 0.500
Si 0.000 0.000 0.000
Pb 0.500 0.000 0.500
Mo 0.500 0.500 0.000

Properties
Space group: P4/mmm, No. 123

=====

No. 11
A geometry-optimized SiMo4Pb structure. Source: Alexandria via LeMat-Bulk, functional PBE-GGA.

a b c (Å): 5.329 5.329 5.329
angles (deg): 60.00 60.00 60.00
Positions (direct):
Mo 0.375 0.375 0.375
Mo 0.876 0.375 0.375
Mo 0.375 0.876 0.375
Mo 0.375 0.375 0.876
Si 0.000 0.000 0.000
Pb 0.750 0.750 0.750

Properties
Space group: F-43m, No. 216

=====

No. 12
A geometry-optimized SiMoPb structure. Source: Alexandria via LeMat-Bulk, functional PBE-GGA.

a b c (Å): 7.262 7.099 3.025
angles (deg): 80.88 74.83 24.28
Positions (direct):
Pb 0.656 0.656 0.344
Si 0.361 0.361 0.639
Mo 0.982 0.982 0.018

Properties
Space group: Fmm2, No. 42

=====

No. 13
A geometry-optimized Si2MoPb structure. Source: Alexandria via LeMat-Bulk, functional PBE-GGA.

a b c (Å): 4.325 3.515 5.189
angles (deg): 70.31 90.00 90.00
Positions (direct):
Si 0.500 0.445 0.232
Si 0.000 0.017 0.091
Pb 0.500 0.714 0.698
Mo 0.000 0.324 0.479

Properties
Space group: Pm, No. 6

=====

No. 14
A geometry-optimized Si2MoPb structure. Source: Alexandria via LeMat-Bulk, functional PBE-GGA.

a b c (Å): 3.305 3.305 7.036
angles (deg): 90.00 90.00 90.00
Positions (direct):
Si 0.500 0.500 0.275
Si 0.000 0.000 0.079
Pb 0.500 0.500 0.727
Mo 0.000 0.000 0.420

Properties
Space group: P4mm, No. 99

=====

No. 15
A geometry-optimized Si2MoPb structure. Source: Alexandria via LeMat-Bulk, functional PBE-GGA.

a b c (Å): 4.545 4.545 6.049
angles (deg): 93.12 93.12 44.65
Positions (direct):
Pb 0.158 0.158 0.318
Si 0.101 0.101 0.872
Si 0.768 0.768 0.685
Mo 0.472 0.472 0.625

Properties
Space group: Cm, No. 8

=====

no.,formation energy from raw total energies (meV per atom)
1,896.7
2,532.0
3,299.8
4,619.1
5,687.2
6,783.5
7,751.8
8,379.9
9,442.3
10,722.5
11,615.6
12,521.5
13,303.0
14,295.9
15,287.3